The following is a PBE calculation of a geometry-optimized ScV2Ru3 structure, from the Alexandria database.

The calculation puts the formation energy from the elements at -2.4 eV per formula unit. The total energy is -0.6711 Ry/atom.

It has space group P4/mmm (No. 123), with a = 3.046 Å, b = 3.046 Å, c = 9.418 Å, α = 90.00°, β = 90.00° and γ = 90.00°. The inequivalent atoms are Sc at (0.000, 0.000, 0.000), V at (0.000, 0.000, 0.337), Ru at (0.500, 0.500, 0.187) and Ru at (0.500, 0.500, 0.500).